The following is a DFT calculation (PBE) of CsCeS3 after structural relaxation.

Properties
E_form (uncorrected): -1.446 eV/atom
SG: C2/m (12)
polymorph energy (0 for the lowest one): 0.000 eV per atom
total DFT energy (no corrections): -26.40 eV/f.u.
total moment: 0.15 μB per formula unit

Unit cell a=4.222 b=9.170 c=10.182 alpha=123.66 beta=90.00 gamma=103.31
Each line ends with the local moment (μB).
Atoms (fractional coordinates):
Cs 0.601 0.202 0.269  0.00
Cs 0.399 0.798 0.731  0.00
Ce 0.826 0.652 0.219  0.19
Ce 0.174 0.348 0.781  0.19
S 0.017 0.034 0.420  -0.01
S 0.983 0.966 0.580  -0.01
S 0.349 0.698 0.063  -0.01
S 0.651 0.302 0.937  -0.01
S 0.273 0.546 0.316  -0.01
S 0.727 0.454 0.684  -0.01